1.
Below is an optimized crystal structure of InW2Au, with properties calculated at the PBE level.

Cell and atoms, written as extended XYZ:
```
4
Lattice="5.306 -0.005 0.000 2.394 4.736 0.000 -3.850 -2.365 2.782" Properties=species:S:1:pos:R:3 pbc="T T T"
W 3.850 2.365 0.000
W 0.000 0.000 0.000
In 2.653 -0.003 1.391
Au 1.197 2.368 1.391
```

Results
Calculated volume ... 69.9 Å³ per cell
Energy ... -7.472 eV/atom
DFT formation energy ... 0.509 eV/atom

***

2.
Below is an optimized crystal structure of InW2Au, with properties calculated at the PBE level.

Cell and atoms, written as extended XYZ:
```
4
Lattice="-4.166 2.328 1.273 -0.654 -3.198 3.707 1.502 1.728 1.755" Properties=species:S:1:pos:R:3 pbc="T T T"
Au -1.332 2.028 1.514
W -2.410 -0.435 2.490
In 0.424 -0.735 2.731
W 0.000 0.000 0.000
```

Results
Calculated volume ... 70.4 Å³ per cell
Energy ... -7.194 eV/atom
DFT formation energy ... 0.786 eV/atom

***

3.
Below is an optimized crystal structure of InW2Au, with properties calculated at the PBE level.

Cell and atoms, written as extended XYZ:
```
4
Lattice="-1.987 1.489 -1.319 1.101 -0.729 -2.482 -5.311 -7.279 -0.217" Properties=species:S:1:pos:R:3 pbc="T T T"
Au -2.578 -3.533 -0.105
W -1.774 -1.445 -1.955
W -0.041 -0.057 -0.002
In -4.459 -5.124 -2.065
```

Results
Calculated volume ... 71.3 Å³ per cell
Energy ... -7.539 eV/atom
DFT formation energy ... 0.442 eV/atom